No. 1
Density functional theory data (GGA-PBE) for a geometry-optimized Ba2FeSi structure.

The uncorrected energy is -3.981 eV/atom. For the density of states at the Fermi level, the calculation gives 1.808 states/eV/atom. As for the crystal system: tetragonal.

The space group is P4/mmm (No. 123) and the conventional cell measures 5.355, 5.355 and 4.356 Å, with angles of 90.00, 90.00 and 90.00 degrees. Symmetry generates all atoms from Ba at (0.000, 0.500, 0.000), Fe at (0.000, 0.000, 0.500) and Si at (0.500, 0.500, 0.500).

No. 2
Density functional theory data (GGA-PBE) for a geometry-optimized ZrTc3 structure.

The uncorrected energy is -9.988 eV/atom. The calculation puts the formation energy at -0.08 eV per atom. For the density of states at the Fermi level, the calculation gives 0.683 states/eV/atom. As for the crystal system: tetragonal.

The space group is P4/mmm (No. 123) and the conventional cell measures 4.512, 4.512 and 3.169 Å, with angles of 90.00, 90.00 and 90.00 degrees. Symmetry generates all atoms from Zr at (0.000, 0.000, 0.000), Tc at (0.000, 0.500, 0.500) and Tc at (0.500, 0.500, 0.000).

No. 3
Density functional theory data (GGA-PBE) for a geometry-optimized Tb4IrRu2 structure.

For the energy above the most stable polymorph in this dataset, the calculation gives 0 kJ/mol of formula units. The uncorrected energy is -6.981 eV/atom. The calculation puts the formation energy at -0.42 eV per atom. For the density of states at the Fermi level, the calculation gives 0.467 states/eV/atom. As for the crystal system: monoclinic.

The space group is Cc (No. 9) and the conventional cell measures 8.745, 12.667 and 6.745 Å, with angles of 90.00, 123.22 and 90.00 degrees. Symmetry generates all atoms from Tb at (0.000, 0.034, 0.000), Tb at (0.118, 0.425, 0.501), Tb at (0.205, 0.187, 0.776), Tb at (0.388, 0.191, 0.392), Ir at (0.279, 0.373, 0.029), Ru at (0.002, 0.181, 0.302) and Ru at (0.328, 0.002, 0.055).